Record 1
The following is a DFT calculation (PBE) of a geometry-optimized PrNd4Sm2Sc structure.

Its density of states at the Fermi level is 2.12 states/eV/atom. Its crystal system is tetragonal. As for the raw total energy: -0.355 Ry/atom. As for the magnetization: 0.00 μB per cell.

It has space group P4/mmm (No. 123), with a = 5.963 Å, b = 5.963 Å, c = 7.542 Å, α = 90.00°, β = 90.00° and γ = 90.00°. The inequivalent atoms are Pr at (0.000, 0.000, 0.000), Nd at (0.000, 0.500, 0.264), Sm at (0.000, 0.000, 0.500), Sm at (0.500, 0.500, 0.000) and Sc at (0.500, 0.500, 0.500).

Record 2
The following is a DFT calculation (PBE) of a geometry-optimized Pr2NdSm4Sc structure.

Its density of states at the Fermi level is 1.47 states/eV/atom. Its crystal system is tetragonal. As for the raw total energy: -0.361 Ry/atom. As for the magnetization: 0.00 μB per cell.

It has space group P4/mmm (No. 123), with a = 5.100 Å, b = 5.100 Å, c = 10.245 Å, α = 90.00°, β = 90.00° and γ = 90.00°. The inequivalent atoms are Pr at (0.000, 0.000, 0.000), Pr at (0.500, 0.500, 0.500), Nd at (0.000, 0.000, 0.500), Sm at (0.000, 0.500, 0.243) and Sc at (0.500, 0.500, 0.000).

Record 3
The following is a DFT calculation (PBE) of a geometry-optimized Pr3Nd2Sm6Sc structure.

Its density of states at the Fermi level is 1.48 states/eV/atom. Its crystal system is monoclinic. As for the raw total energy: -0.356 Ry/atom. As for the magnetization: 0.00 μB per cell.

It has space group C2/m (No. 12), with a = 6.286 Å, b = 10.885 Å, c = 12.056 Å, α = 90.00°, β = 100.03° and γ = 90.00°. The inequivalent atoms are Pr at (0.000, 0.000, 0.000), Pr at (0.000, 0.333, 0.000), Nd at (0.000, 0.167, 0.500), Sm at (0.246, 0.335, 0.746), Sm at (0.248, 0.500, 0.254) and Sc at (0.000, 0.500, 0.500).

Record 4
The following is a DFT calculation (PBE) of a geometry-optimized PrNdScSn structure.

Its density of states at the Fermi level is 1.84 states/eV/atom. Its crystal system is cubic. As for the raw total energy: -0.384 Ry/atom. As for the magnetization: 0.06 μB per cell.

It has space group F-43m (No. 216), with a = 7.734 Å, b = 7.734 Å, c = 7.734 Å, α = 90.00°, β = 90.00° and γ = 90.00°. The inequivalent atoms are Pr at (0.000, 0.000, 0.000), Nd at (0.000, 0.000, 0.500), Sc at (0.250, 0.250, 0.750) and Sn at (0.250, 0.250, 0.250).

Record 5
The following is a DFT calculation (PBE) of a geometry-optimized TbPr2Nd5Sc structure.

Its density of states at the Fermi level is 1.46 states/eV/atom. Its crystal system is tetragonal. As for the raw total energy: -0.342 Ry/atom. As for the magnetization: 0.00 μB per cell.

It has space group I4/mcm (No. 140), with a = 8.523 Å, b = 8.523 Å, c = 17.035 Å, α = 90.00°, β = 90.00° and γ = 90.00°. The inequivalent atoms are Tb at (0.000, 0.000, 0.250), Pr at (0.125, 0.375, 0.000), Nd at (0.000, 0.000, 0.000), Nd at (0.218, 0.282, 0.354) and Sc at (0.000, 0.500, 0.250).

Record 6
The following is a DFT calculation (PBE) of a geometry-optimized Tb5Pr2NdSc structure.

Its density of states at the Fermi level is 1.37 states/eV/atom. Its crystal system is orthorhombic. As for the raw total energy: -0.346 Ry/atom. As for the magnetization: 0.00 μB per cell.

It has space group Cmc2_1 (No. 36), with a = 5.634 Å, b = 19.908 Å, c = 10.517 Å, α = 90.00°, β = 90.00° and γ = 90.00°. The inequivalent atoms are Tb at (0.000, 0.017, 0.000), Tb at (0.000, 0.126, 0.277), Tb at (0.000, 0.204, 0.962), Tb at (0.000, 0.223, 0.582), Tb at (0.000, 0.483, 0.278), Pr at (0.000, 0.385, 0.993), Pr at (0.000, 0.387, 0.574), Nd at (0.000, 0.088, 0.719) and Sc at (0.000, 0.303, 0.273).

- What is the raw total energy in the fifth record?
  -0.342 Ry/atom